# RbCuSn (PBE, relaxed)
# - Offset from the most stable computed form: 1.725 eV per formula unit
data_RbCuSn
_chemical_formula_sum 'Rb4 Cu4 Sn4'
_symmetry_space_group_name_H-M 'F -4 3 m'
_symmetry_Int_Tables_number 216
_symmetry_space_group_name_Hall 'F -4 2 3'
_cell_length_a 7.693
_cell_length_b 7.693
_cell_length_c 7.693
_cell_angle_alpha 90.00
_cell_angle_beta 90.00
_cell_angle_gamma 90.00
loop_
_atom_site_label
_atom_site_fract_x
_atom_site_fract_y
_atom_site_fract_z
Rb1 0.000 0.000 0.000
Cu1 0.250 0.250 0.750
Sn1 0.250 0.250 0.250

# Sr2Dy3Sb2O2 (PBE, relaxed)
# - Total energy: -101.64 eV per cell
data_Sr2Dy3Sb2O2
_chemical_formula_sum 'Sr4 Dy6 Sb4 O4'
_symmetry_space_group_name_H-M 'I 4/m m m'
_symmetry_Int_Tables_number 139
_symmetry_space_group_name_Hall '-I 4 2'
_cell_length_a 4.542
_cell_length_b 4.542
_cell_length_c 21.325
_cell_angle_alpha 90.00
_cell_angle_beta 90.00
_cell_angle_gamma 90.00
loop_
_atom_site_label
_atom_site_fract_x
_atom_site_fract_y
_atom_site_fract_z
Sr1 0.000 0.000 0.083
Dy1 0.000 0.000 0.500
Dy2 0.000 0.500 0.250
Sb1 0.000 0.000 0.351
O1 0.000 0.500 0.000

# KHfFe (PBE, relaxed)
# - Offset from the most stable computed form: 0.000 eV per formula unit
data_KHfFe
_chemical_formula_sum 'K4 Hf4 Fe4'
_symmetry_space_group_name_H-M 'F -4 3 m'
_symmetry_Int_Tables_number 216
_symmetry_space_group_name_Hall 'F -4 2 3'
_cell_length_a 6.512
_cell_length_b 6.512
_cell_length_c 6.512
_cell_angle_alpha 90.00
_cell_angle_beta 90.00
_cell_angle_gamma 90.00
loop_
_atom_site_label
_atom_site_fract_x
_atom_site_fract_y
_atom_site_fract_z
K1 0.000 0.000 0.000
Hf1 0.000 0.000 0.500
Fe1 0.250 0.250 0.750

# BaScTe3Au (PBE, relaxed)
# - Total energy: -109.21 eV per cell
data_BaScTe3Au
_chemical_formula_sum 'Ba4 Sc4 Te12 Au4'
_symmetry_space_group_name_H-M 'C 1 2/m 1'
_symmetry_Int_Tables_number 12
_symmetry_space_group_name_Hall '-C 2y'
_cell_length_a 19.562
_cell_length_b 4.363
_cell_length_c 8.998
_cell_angle_alpha 90.00
_cell_angle_beta 99.85
_cell_angle_gamma 90.00
loop_
_atom_site_label
_atom_site_fract_x
_atom_site_fract_y
_atom_site_fract_z
Ba1 0.131 0.000 0.076
Sc1 0.162 0.000 0.585
Te1 0.000 0.000 0.500
Te2 0.000 0.500 0.000
Te3 0.180 0.500 0.376
Te4 0.185 0.500 0.812
Au1 0.044 0.500 0.709

# GdAl2Hg (PBE, relaxed)
# - Total energy: -55.37 eV per cell
data_GdAl2Hg
_chemical_formula_sum 'Gd4 Al8 Hg4'
_symmetry_space_group_name_H-M 'A m a 2'
_symmetry_Int_Tables_number 40
_symmetry_space_group_name_Hall 'A 2 -2a'
_cell_length_a 4.811
_cell_length_b 11.158
_cell_length_c 6.351
_cell_angle_alpha 90.00
_cell_angle_beta 90.00
_cell_angle_gamma 90.00
loop_
_atom_site_label
_atom_site_fract_x
_atom_site_fract_y
_atom_site_fract_z
Gd1 0.250 0.167 0.000
Al1 0.250 0.148 0.487
Al2 0.250 0.426 0.770
Hg1 0.250 0.413 0.231

# Lu4Sc2Ga3N3 (PBE, relaxed)
# - Total energy: -315.31 eV per cell
data_Lu4Sc2Ga3N3
_chemical_formula_sum 'Lu16 Sc8 Ga12 N12'
_symmetry_space_group_name_H-M 'C 1 2/c 1'
_symmetry_Int_Tables_number 15
_symmetry_space_group_name_Hall '-C 2yc'
_cell_length_a 10.037
_cell_length_b 5.788
_cell_length_c 14.608
_cell_angle_alpha 90.00
_cell_angle_beta 103.30
_cell_angle_gamma 90.00
loop_
_atom_site_label
_atom_site_fract_x
_atom_site_fract_y
_atom_site_fract_z
Lu1 0.115 0.082 0.095
Lu2 0.218 0.084 0.405
Sc1 0.057 0.416 0.919
Ga1 0.000 0.137 0.750
Ga2 0.138 0.446 0.250
N1 0.084 0.249 0.500
N2 0.250 0.250 0.000

no.,volume (Å³/atom)
1,37.9
2,24.4
3,23.0
4,31.5
5,21.3
6,17.2